The following is a DFT calculation (PBE) of a relaxed structure of GdCdIn.

Geometry as POSCAR:
```
GdCdIn
1.0
3.172 0.000 0.000
0.000 3.172 0.000
-1.586 -1.586 8.790
In Gd Cd
1 1 1
Cartesian
0.000 0.000 2.289
1.586 1.586 7.904
1.586 1.586 4.751
```

Properties
**SG**: I4mm
**Crystal system**: tetragonal
**VASP energy**: -16.98 eV/cell
**Density**: 7.22 g cm⁻³

=====

The following is a DFT calculation (PBE) of a relaxed structure of TbHoI6.

Geometry as POSCAR:
```
TbHoI6
1.0
7.988 -0.441 -1.264
-4.570 6.567 -1.264
0.085 0.152 7.454
I Ho Tb
6 1 1
Cartesian
0.777 5.757 3.703
4.491 3.684 3.703
0.915 1.640 4.967
2.726 0.521 1.224
-0.988 2.593 1.224
2.588 4.638 -0.040
0.000 0.000 0.000
1.752 3.139 2.463
```

Properties
**ΔE to the lowest computed polymorph**: 0 meV per atom
**SG**: C2/m
**Formation energy without anion corrections**: -1.349 eV/atom
**Crystal system**: monoclinic
**VASP energy**: -29.30 eV/cell
**Density**: 4.75 g cm⁻³